First-principles (meta-GGA SCAN) data for a crystal of MgTe2Pb relaxed with PBEsol, as listed in Alexandria.

a = 4.366 Å, b = 4.366 Å, c = 7.614 Å
α = 73.34°, β = 73.34°, γ = 60.00°
Sites, in units of the cell vectors:
Te  0.259  0.259  0.223
Te  0.741  0.741  0.777
Mg  0.000  0.000  0.000
Pb  0.500  0.500  0.500

The uncorrected formation energy comes out at -0.6322 eV per atom. The volume comes out at 29.6 Å³ per atom. The space group is R-3m, No. 166.